(1)
VASP calculation (PBE) on a geometry-optimized NpCuSi2 structure.

For the mass density, the calculation gives 8.68 g/cm³. The uncorrected formation energy is -0.1347 eV per atom. As for the magnetization: 4.03 μB per formula unit.

The space group is R-3m (No. 166, hexagonal axes) and the conventional cell measures 3.9965, 3.9965 and 14.8069 Å, with angles of 90.00, 90.00 and 120.00 degrees. The distinct sites, in fractional coordinates, are Np at (0.0000, 0.0000, 0.0000), Cu at (0.0000, 0.0000, 0.5000) and Si at (0.0000, 0.0000, 0.2123).

***

(2)
VASP calculation (PBE) on a geometry-optimized NpCuSi2 structure.

For the mass density, the calculation gives 8.73 g/cm³. The uncorrected formation energy is -0.2405 eV per atom. As for the magnetization: 3.97 μB per formula unit.

The space group is Pnma (No. 62) and the conventional cell measures 13.2755, 3.9364 and 10.3824 Å, with angles of 90.00, 90.00 and 90.00 degrees. The distinct sites, in fractional coordinates, are Np at (0.0512, 0.2500, 0.2436), Np at (0.1986, 0.7500, 0.9633), Cu at (0.0546, 0.2500, 0.5461), Cu at (0.2009, 0.7500, 0.6680), Si at (0.0318, 0.2500, 0.9576), Si at (0.1127, 0.2500, 0.7596), Si at (0.1278, 0.7500, 0.4559) and Si at (0.2095, 0.7500, 0.2542).

***

(3)
VASP calculation (PBE) on a geometry-optimized Np2CuSi3 structure.

For the mass density, the calculation gives 10.16 g/cm³. The uncorrected formation energy is -0.2304 eV per atom. As for the magnetization: 4.40 μB per formula unit.

The space group is Cm (No. 8) and the conventional cell measures 9.7804, 4.0996 and 6.1727 Å, with angles of 90.00, 124.78 and 90.00 degrees. The distinct sites, in fractional coordinates, are Np at (0.0000, 0.0000, 0.0000), Np at (0.0845, 0.0000, 0.6992), Cu at (0.3940, 0.0000, 0.2649), Si at (0.1793, 0.5000, 0.4513), Si at (0.2488, 0.5000, 0.1150) and Si at (0.3421, 0.0000, 0.6040).